(1)
Na2ZnC | GGA-PBE | optimized geometry

E: -0.077 hartree per atom
Energy relative to the lowest polymorph listed for this composition: 692 meV/atom
DOS at the Fermi energy: 2.0 states/eV/cell
Formation enthalpy at 0 K: 1196 meV per atom

Lattice parameters (Å, degrees): 4.599 4.599 4.599 60.00 60.00 60.00
Last column: magnetic moment on the atom in μB.
Fractional positions:
Zn1 0.500 0.500 0.500  -0.01
C1 0.000 0.000 0.000  0.20
Na1 0.750 0.750 0.750  0.00
Na2 0.250 0.250 0.250  0.00

(2)
MgTl2Pb2 | GGA-PBE | optimized geometry

E: -0.102 hartree per atom
Energy relative to the lowest polymorph listed for this composition: 0 meV/atom
DOS at the Fermi energy: 2.1 states/eV/cell
Formation enthalpy at 0 K: -15 meV per atom

Lattice parameters (Å, degrees): 3.552 3.453 14.157 82.58 90.00 120.95
Fractional positions:
Tl1 0.137 0.273 0.607
Tl2 0.863 0.727 0.393
Pb1 0.411 0.822 0.817
Pb2 0.589 0.178 0.183
Mg1 0.000 0.000 0.000

(3)
NiSb2Rh | GGA-PBE | optimized geometry

E: -0.205 hartree per atom
Formation energy without anion corrections: -0.2391 eV per atom
DOS at the Fermi energy: 2.1 states/eV/cell

Lattice parameters (Å, degrees): 3.900 3.591 5.426 70.98 90.00 90.00
Fractional positions:
Rh1 0.500 0.540 0.793
Sb1 0.000 0.975 0.925
Sb2 0.500 0.262 0.351
Ni1 0.000 0.723 0.431

(4)
Tb2Ir2O7 | GGA-PBE | optimized geometry

E: -0.282 hartree per atom
Formation energy without anion corrections: -2.0674 eV per atom
DOS at the Fermi energy: 11.4 states/eV/cell

Lattice parameters (Å, degrees): 7.266 7.266 7.266 60.00 60.00 60.00
Last column: magnetic moment on the atom in μB.
Fractional positions:
O1 0.462 0.462 0.038  0.02
O2 0.212 0.788 0.788  0.02
O3 0.038 0.462 0.038  0.02
O4 0.212 0.788 0.212  0.02
O5 0.788 0.212 0.788  0.02
O6 0.788 0.212 0.212  0.02
O7 0.462 0.038 0.462  0.02
O8 0.038 0.462 0.462  0.02
O9 0.750 0.750 0.750  0.00
O10 0.788 0.788 0.212  0.02
O11 0.500 0.500 0.500  0.00
O12 0.038 0.038 0.462  0.02
O13 0.212 0.212 0.788  0.02
O14 0.462 0.038 0.038  0.02
Ir1 0.125 0.625 0.125  0.16
Ir2 0.125 0.125 0.625  0.16
Ir3 0.625 0.125 0.125  0.16
Ir4 0.125 0.125 0.125  0.16
Tb1 0.625 0.625 0.625  0.01
Tb2 0.625 0.625 0.125  0.01
Tb3 0.625 0.125 0.625  0.01
Tb4 0.125 0.625 0.625  0.01

(5)
HfReRh3 | GGA-PBE | optimized geometry

E: -0.294 hartree per atom
Energy relative to the lowest polymorph listed for this composition: 0 meV/atom
DOS at the Fermi energy: 6.0 states/eV/cell
Formation enthalpy at 0 K: 904 meV per atom

Lattice parameters (Å, degrees): 4.669 4.669 4.669 90.00 90.00 90.00
Fractional positions:
Rh1 0.000 0.500 0.000
Rh2 0.000 0.000 0.500
Rh3 0.500 0.000 0.000
Hf1 0.500 0.500 0.500
Re1 0.000 0.000 0.000

(6)
CoCuNiMo | GGA-PBE | optimized geometry

E: -0.251 hartree per atom
DOS at the Fermi energy: 3.3 states/eV/cell
Formation enthalpy at 0 K: 133 meV per atom

Lattice parameters (Å, degrees): 4.117 4.117 4.117 60.00 60.00 60.00
Last column: magnetic moment on the atom in μB.
Fractional positions:
Co1 0.000 0.000 0.000  0.95
Cu1 0.250 0.250 0.250  0.00
Ni1 0.500 0.500 0.500  0.40
Mo1 0.750 0.750 0.750  0.20

(7)
Li24Cd5 | GGA-PBE | optimized geometry

E: -0.067 hartree per atom
DOS at the Fermi energy: 16.8 states/eV/cell
Formation enthalpy at 0 K: -81 meV per atom

Lattice parameters (Å, degrees): 8.836 8.836 8.836 109.47 109.47 109.47
Fractional positions:
Li1 0.811 0.000 0.631
Li2 0.715 0.403 0.403
Li3 0.369 0.180 0.369
Li4 0.180 0.369 0.369
Li5 0.597 0.313 0.000
Li6 0.820 0.189 0.189
Li7 0.313 0.000 0.597
Li8 0.811 0.631 0.000
Li9 0.000 0.313 0.597
Li10 0.403 0.403 0.715
Li11 0.000 0.597 0.313
Li12 0.285 0.687 0.687
Li13 0.403 0.715 0.403
Li14 0.631 0.000 0.811
Li15 0.313 0.597 0.000
Li16 0.687 0.687 0.285
Li17 0.631 0.811 0.000
Li18 0.687 0.285 0.687
Li19 0.189 0.189 0.820
Li20 0.000 0.631 0.811
Li21 0.000 0.811 0.631
Li22 0.189 0.820 0.189
Li23 0.597 0.000 0.313
Li24 0.369 0.369 0.180
Cd1 0.000 0.000 0.000
Cd2 0.366 0.000 0.000
Cd3 0.634 0.634 0.634
Cd4 0.000 0.366 0.000
Cd5 0.000 0.000 0.366

(8)
Ca2Sb2Au15 | GGA-PBE | optimized geometry

E: -0.128 hartree per atom
Formation energy without anion corrections: -0.2456 eV per atom
DOS at the Fermi energy: 7.1 states/eV/cell

Lattice parameters (Å, degrees): 7.394 7.394 7.394 83.64 83.64 83.64
Fractional positions:
Au1 0.334 0.822 0.334
Au2 0.658 0.342 0.000
Au3 0.500 0.000 0.000
Au4 0.342 0.000 0.658
Au5 0.666 0.666 0.178
Au6 0.000 0.342 0.658
Au7 0.178 0.666 0.666
Au8 0.334 0.334 0.822
Au9 0.000 0.500 0.000
Au10 0.822 0.334 0.334
Au11 0.342 0.658 0.000
Au12 0.000 0.000 0.500
Au13 0.658 0.000 0.342
Au14 0.000 0.658 0.342
Au15 0.666 0.178 0.666
Ca1 0.360 0.360 0.360
Ca2 0.640 0.640 0.640
Sb1 0.103 0.103 0.103
Sb2 0.897 0.897 0.897

(9)
NaSm2Th3Se6 | GGA-PBE | optimized geometry

E: -0.224 hartree per atom
Formation energy without anion corrections: -1.6101 eV per atom
DOS at the Fermi energy: 6.7 states/eV/cell

Lattice parameters (Å, degrees): 4.145 8.482 9.438 104.97 102.69 90.00
Fractional positions:
Sm1 0.170 0.335 0.340
Sm2 0.830 0.665 0.660
Se1 0.999 0.754 0.998
Se2 0.338 0.918 0.676
Se3 0.666 0.578 0.333
Se4 0.662 0.082 0.324
Se5 0.001 0.246 0.002
Se6 0.334 0.422 0.667
Th1 0.500 0.500 0.000
Th2 0.832 0.168 0.663
Th3 0.168 0.832 0.337
Na1 0.500 0.000 0.000

(10)
MnCoSiRh | GGA-PBE | optimized geometry

E: -0.284 hartree per atom
Formation energy without anion corrections: -0.4658 eV per atom
DOS at the Fermi energy: 1.3 states/eV/cell

Lattice parameters (Å, degrees): 4.126 4.126 4.126 60.00 60.00 60.00
Last column: magnetic moment on the atom in μB.
Fractional positions:
Si1 0.750 0.750 0.750  -0.01
Rh1 0.500 0.500 0.500  0.45
Co1 0.000 0.000 0.000  1.21
Mn1 0.250 0.250 0.250  3.33

(11)
AsH3Pt | GGA-PBE | optimized geometry

E: -0.119 hartree per atom
Energy relative to the lowest polymorph listed for this composition: 416 meV/atom
DOS at the Fermi energy: 0.8 states/eV/cell

Lattice parameters (Å, degrees): 3.649 3.649 3.649 90.00 90.00 90.00
Fractional positions:
H1 0.000 0.000 0.500
H2 0.500 0.000 0.000
H3 0.000 0.500 0.000
As1 0.000 0.000 0.000
Pt1 0.500 0.500 0.500

(12)
InRe2SiSe | GGA-PBE | optimized geometry

E: -0.216 hartree per atom
Formation energy without anion corrections: 1.4258 eV per atom
DOS at the Fermi energy: 6.1 states/eV/cell

Lattice parameters (Å, degrees): 4.555 4.870 4.555 90.00 90.00 90.00
Fractional positions:
Re1 0.500 0.000 0.000
Re2 0.000 0.000 0.500
Si1 0.000 0.000 0.000
In1 0.000 0.500 0.000
Se1 0.500 0.500 0.500

(13)
CdMo3 | GGA-PBE | optimized geometry

E: -0.176 hartree per atom
Energy relative to the lowest polymorph listed for this composition: 3336 meV/atom
DOS at the Fermi energy: 6.1 states/eV/cell
Formation enthalpy at 0 K: 3555 meV per atom

Lattice parameters (Å, degrees): 5.396 5.396 5.396 90.00 90.00 90.00
Last column: magnetic moment on the atom in μB.
Fractional positions:
Mo1 0.500 0.000 0.000  3.33
Mo2 0.000 0.000 0.500  3.33
Mo3 0.000 0.500 0.000  3.33
Cd1 0.000 0.000 0.000  0.04

(14)
Tl5In24 | GGA-PBE | optimized geometry

E: -0.097 hartree per atom
DOS at the Fermi energy: 15.7 states/eV/cell
Formation enthalpy at 0 K: 23 meV per atom

Lattice parameters (Å, degrees): 10.214 10.214 10.214 109.47 109.47 109.47
Fractional positions:
In1 0.000 0.377 0.192
In2 0.377 0.192 0.000
In3 0.000 0.402 0.682
In4 0.720 0.318 0.318
In5 0.192 0.000 0.377
In6 0.682 0.402 0.000
In7 0.808 0.808 0.185
In8 0.623 0.623 0.815
In9 0.377 0.000 0.192
In10 0.318 0.720 0.318
In11 0.192 0.377 0.000
In12 0.682 0.000 0.402
In13 0.623 0.815 0.623
In14 0.598 0.598 0.280
In15 0.185 0.808 0.808
In16 0.000 0.192 0.377
In17 0.318 0.318 0.720
In18 0.000 0.682 0.402
In19 0.815 0.623 0.623
In20 0.402 0.000 0.682
In21 0.598 0.280 0.598
In22 0.280 0.598 0.598
In23 0.402 0.682 0.000
In24 0.808 0.185 0.808
Tl1 0.000 0.000 0.000
Tl2 0.000 0.644 0.000
Tl3 0.000 0.000 0.644
Tl4 0.644 0.000 0.000
Tl5 0.356 0.356 0.356

(15)
BeIn2Pd6 | GGA-PBE | optimized geometry

E: -0.176 hartree per atom
DOS at the Fermi energy: 4.3 states/eV/cell
Formation enthalpy at 0 K: -307 meV per atom

Lattice parameters (Å, degrees): 3.078 7.225 7.875 117.31 101.04 90.00
Fractional positions:
Be1 0.000 0.000 0.000
Pd1 0.165 0.356 0.334
Pd2 0.165 0.978 0.334
Pd3 0.500 0.768 0.000
Pd4 0.835 0.022 0.666
Pd5 0.500 0.232 0.000
Pd6 0.835 0.644 0.666
In1 0.351 0.349 0.699
In2 0.649 0.651 0.301

(16)
Pm6Rh2N | GGA-PBE | optimized geometry

E: -0.236 hartree per atom
Energy relative to the lowest polymorph listed for this composition: 0 meV/atom
Formation energy without anion corrections: -0.6845 eV per atom
DOS at the Fermi energy: 16.1 states/eV/cell

Lattice parameters (Å, degrees): 6.569 7.235 9.809 90.00 88.89 90.00
Fractional positions:
Pm1 0.828 0.690 0.437
Pm2 0.311 0.830 0.560
Pm3 0.672 0.190 0.063
Pm4 0.811 0.670 0.060
Pm5 0.172 0.310 0.563
Pm6 0.375 0.542 0.240
Pm7 0.875 0.958 0.740
Pm8 0.689 0.170 0.440
Pm9 0.328 0.810 0.937
Pm10 0.189 0.330 0.940
Pm11 0.125 0.042 0.260
Pm12 0.625 0.458 0.760
Rh1 0.954 0.400 0.247
Rh2 0.546 0.900 0.253
Rh3 0.454 0.100 0.747
Rh4 0.046 0.600 0.753
N1 0.500 0.500 0.000
N2 0.000 0.000 0.500

(17)
Li6CuAg12 | GGA-PBE | optimized geometry

E: -0.099 hartree per atom
DOS at the Fermi energy: 7.0 states/eV/cell
Formation enthalpy at 0 K: -79 meV per atom

Lattice parameters (Å, degrees): 6.870 6.870 6.870 89.39 89.39 89.39
Fractional positions:
Ag1 0.438 0.802 0.529
Ag2 0.363 0.022 0.154
Ag3 0.198 0.471 0.562
Ag4 0.637 0.978 0.846
Ag5 0.562 0.198 0.471
Ag6 0.022 0.154 0.363
Ag7 0.529 0.438 0.802
Ag8 0.978 0.846 0.637
Ag9 0.471 0.562 0.198
Ag10 0.154 0.363 0.022
Ag11 0.802 0.529 0.438
Ag12 0.846 0.637 0.978
Li1 0.887 0.266 0.726
Li2 0.274 0.113 0.734
Li3 0.734 0.274 0.113
Li4 0.726 0.887 0.266
Li5 0.266 0.726 0.887
Li6 0.113 0.734 0.274
Cu1 0.000 0.000 0.000

(18)
PuZnCuO5 | GGA-PBE | optimized geometry

E: -0.265 hartree per atom
Formation energy without anion corrections: -1.6573 eV per atom
DOS at the Fermi energy: 6.1 states/eV/cell

Lattice parameters (Å, degrees): 5.965 5.965 8.118 104.89 104.89 114.86
Last column: magnetic moment on the atom in μB.
Fractional positions:
O1 0.645 0.000 0.355  -0.10
O2 0.806 0.624 0.432  -0.12
O3 0.376 0.194 0.068  -0.12
O4 0.000 0.355 0.145  -0.10
O5 0.000 0.645 0.855  -0.10
O6 0.920 0.080 0.750  -0.09
O7 0.080 0.920 0.250  -0.09
O8 0.355 0.000 0.645  -0.10
O9 0.194 0.376 0.568  -0.12
O10 0.624 0.806 0.932  -0.12
Cu1 0.727 0.273 0.250  -0.37
Cu2 0.273 0.727 0.750  -0.37
Zn1 0.277 0.723 0.250  -0.01
Zn2 0.723 0.277 0.750  -0.01
Pu1 0.000 0.000 0.000  1.93
Pu2 0.000 0.000 0.500  1.93

(19)
YInSbI2 | GGA-PBE | optimized geometry

E: -0.117 hartree per atom
Energy relative to the lowest polymorph listed for this composition: 551 meV/atom
Formation energy without anion corrections: 0.1052 eV per atom
DOS at the Fermi energy: 1.8 states/eV/cell

Lattice parameters (Å, degrees): 5.717 5.717 5.801 90.00 90.00 90.00
Last column: magnetic moment on the atom in μB.
Fractional positions:
I1 0.000 0.500 0.000  -0.01
I2 0.500 0.000 0.000  -0.01
Sb1 0.000 0.000 0.500  0.00
In1 0.000 0.000 0.000  0.00
Y1 0.500 0.500 0.500  0.14

(20)
Nd6Sb5O | GGA-PBE | optimized geometry

E: -0.213 hartree per atom
Formation energy without anion corrections: -1.2897 eV per atom
DOS at the Fermi energy: 2.7 states/eV/cell

Lattice parameters (Å, degrees): 7.640 7.659 7.574 59.63 80.08 70.08
Fractional positions:
Sb1 0.500 0.179 0.641
Sb2 0.500 0.500 0.000
Sb3 0.000 0.664 0.672
Sb4 0.000 0.336 0.328
Sb5 0.500 0.821 0.359
Nd1 0.226 0.927 0.697
Nd2 0.774 0.073 0.303
Nd3 0.254 0.235 0.000
Nd4 0.774 0.376 0.697
Nd5 0.746 0.765 0.000
Nd6 0.226 0.624 0.303
O1 0.000 0.000 0.000